1.
A relaxed Hf2GaAu crystal, computed with PBE. Values from VASP.

## Properties
Its formation energy is -0.411 eV/atom. As for the space group: P4/mmm.

Geometry as Quantum ESPRESSO input:
```
&SYSTEM
  ibrav = 0, nat = 4, ntyp = 3
/
ATOMIC_SPECIES
Hf 178.49 Hf.upf
Au 196.97 Au.upf
Ga 69.72 Ga.upf
CELL_PARAMETERS angstrom
-2.9447 1.7282 -2.2306
-2.9767 -1.7247 2.5935
0.1557 3.5006 2.5066
ATOMIC_POSITIONS angstrom
Hf 0.0779 1.7503 1.2533
Hf -1.4883 -0.8623 1.2967
Au -2.8828 1.7521 1.4347
Ga -1.4724 0.8641 -1.1153
```



2.
A relaxed Zr4N3O crystal, computed with PBE. Values from VASP.

## Properties
The uncorrected formation energy is -1865 meV/atom. As for the space group: Cmmm.

Geometry as Quantum ESPRESSO input:
```
&SYSTEM
  ibrav = 0, nat = 8, ntyp = 3
/
ATOMIC_SPECIES
O 16.00 O.upf
Zr 91.22 Zr.upf
N 14.01 N.upf
CELL_PARAMETERS angstrom
-0.7171 -3.1292 -0.6825
4.3156 -0.1933 -3.6476
4.6836 -1.6613 2.6965
ATOMIC_POSITIONS angstrom
O 6.4833 -3.3224 0.5309
Zr 6.0274 -4.4986 -1.4889
Zr 4.1067 -2.1366 -2.4093
Zr 1.5385 -3.6141 -0.8282
Zr 4.1763 -2.8469 0.7748
N 1.9837 -2.3951 1.0064
N 3.9669 -4.7903 2.0136
N 3.7830 -4.0564 -1.1585
```